Record 1
Density functional theory data (GGA-PBE) for an optimized crystal structure of Nd4NiAg.

excess energy over the best structure of this formula in the dataset	95	meV per atom
formation energy	-0.061	eV/atom

Unit cell a=7.167 b=7.337 c=7.053 alpha=90.00 beta=96.13 gamma=90.00
Atoms (fractional coordinates):
1 Nd 0.882 0.653 0.177
2 Nd 0.618 0.153 0.823
3 Nd 0.305 0.329 0.342
4 Nd 0.195 0.829 0.658
5 Nd 0.118 0.347 0.823
6 Nd 0.382 0.847 0.177
7 Nd 0.695 0.671 0.658
8 Nd 0.805 0.171 0.342
9 Ni 0.500 0.000 0.500
10 Ni 0.000 0.500 0.500
11 Ag 0.000 0.000 0.000
12 Ag 0.500 0.500 0.000

=====

Record 2
Density functional theory data (GGA-PBE) for an optimized crystal structure of NaTbAg.

excess energy over the best structure of this formula in the dataset	0	meV per atom
formation energy	-0.071	eV/atom

Unit cell a=3.648 b=5.134 c=8.905 alpha=90.00 beta=101.82 gamma=90.00
Atoms (fractional coordinates):
1 Tb 0.426 0.250 0.852
2 Tb 0.574 0.750 0.148
3 Ag 0.934 0.750 0.867
4 Ag 0.066 0.250 0.133
5 Na 0.719 0.250 0.438
6 Na 0.281 0.750 0.562

=====

Record 3
Density functional theory data (GGA-PBE) for an optimized crystal structure of TlFe2WN.

raw formation energy	101.3	kJ/mol of atoms

Unit cell a=4.891 b=3.873 c=4.891 alpha=90.00 beta=90.00 gamma=90.00
Atoms (fractional coordinates):
1 Tl 0.500 0.500 0.500
2 Fe 0.000 0.000 0.500
3 Fe 0.500 0.000 0.000
4 W 0.000 0.000 0.000
5 N 0.000 0.500 0.000